Compound: In2CuPt
Source: Alexandria
Functional: PBE
Structure: optimized geometry

Output
total energy = -30.63 eV per cell
formation energy = 29 kJ/mol of formula units
space-group type = No. 122
crystal system = tetragonal
DOS at the Fermi energy = 0.484 states/eV per atom

POSCAR file:
```
In2CuPt
1.0
-3.763 3.763 2.833
3.763 -3.763 2.833
3.763 3.763 -2.833
In Cu Pt
4 2 2
direct
0.124 0.625 0.999
0.375 0.374 0.499
0.626 0.125 0.001
0.875 0.876 0.501
0.250 0.750 0.500
0.500 0.500 0.000
0.000 0.000 0.000
0.750 0.250 0.500
```

***

Compound: In2CuPt
Source: Alexandria
Functional: PBE
Structure: optimized geometry

Output
total energy = -16.15 eV per cell
formation energy = -52 kJ/mol of formula units
space-group type = No. 119
crystal system = tetragonal
DOS at the Fermi energy = 0.354 states/eV per atom

POSCAR file:
```
In2CuPt
1.0
-2.042 2.042 4.277
2.042 -2.042 4.277
2.042 2.042 -4.277
In Cu Pt
2 1 1
direct
0.000 0.000 0.000
0.750 0.250 0.500
0.500 0.500 0.000
0.250 0.750 0.500
```

***

Compound: In2CuPt
Source: Alexandria
Functional: PBE
Structure: optimized geometry

Output
total energy = -16.21 eV per cell
formation energy = -57 kJ/mol of formula units
space-group type = No. 8
crystal system = monoclinic
DOS at the Fermi energy = 0.243 states/eV per atom

POSCAR file:
```
In2CuPt
1.0
4.871 -1.703 0.000
4.871 1.703 0.000
-1.323 0.000 4.393
In Cu Pt
2 1 1
direct
0.000 0.000 0.000
0.222 0.222 0.649
0.469 0.469 0.473
0.747 0.747 0.167
```

***

Compound: In2CuPt
Source: Alexandria
Functional: PBE
Structure: optimized geometry

Output
total energy = -15.70 eV per cell
formation energy = -8 kJ/mol of formula units
space-group type = No. 166
crystal system = trigonal
DOS at the Fermi energy = 0.295 states/eV per atom

POSCAR file:
```
In2CuPt
1.0
1.630 0.941 8.211
-1.630 0.941 8.211
0.000 -1.882 8.211
In Cu Pt
2 1 1
direct
0.248 0.248 0.248
0.752 0.752 0.752
0.500 0.500 0.500
0.000 0.000 0.000
```

***

Compound: InCuPt2
Source: Alexandria
Functional: PBE
Structure: optimized geometry

Output
total energy = -20.03 eV per cell
formation energy = -107 kJ/mol of formula units
space-group type = No. 25
crystal system = orthorhombic
DOS at the Fermi energy = 0.409 states/eV per atom

POSCAR file:
```
InCuPt2
1.0
2.955 0.000 0.000
0.000 4.571 0.000
0.000 0.000 4.760
In Cu Pt
1 1 2
direct
0.000 0.000 0.000
0.000 0.500 0.387
0.500 0.000 0.490
0.500 0.500 0.869
```

***

Compound: In2CuPt
Source: Alexandria
Functional: PBE
Structure: optimized geometry

Output
total energy = -16.24 eV per cell
formation energy = -60 kJ/mol of formula units
space-group type = No. 47
crystal system = orthorhombic
DOS at the Fermi energy = 0.249 states/eV per atom

POSCAR file:
```
In2CuPt
1.0
3.461 0.000 0.000
0.000 3.473 0.000
0.000 0.000 5.975
In Cu Pt
2 1 1
direct
0.000 0.000 0.247
0.000 0.000 0.753
0.500 0.500 0.000
0.500 0.500 0.500
```

***

What is the formula in the sixth record? In2CuPt

***

What is the formation energy in the second record? -52 kJ/mol of formula units

***

Which formula does entry 3 have? In2CuPt

***

Which of these has the highest DOS at the Fermi energy? number 1